1.
Material: CeDyTm2Se4
Method: DFT, PBE-GGA
State: optimized geometry

Output
Theoretical density, Mg/m³: 8.28
Formation energy without anion corrections, eV/atom: -1.73
D(E_F), states/eV/cell: 8.46

Cell: 7.0377 4.0317 7.1407 Å, 90.00 108.87 90.00°
Fractional positions:
Ce: 0.0000 0.0000 0.0000
Dy: 0.5000 0.5000 0.0000
Tm: 0.0000 0.5000 0.5000
Tm: 0.5000 0.0000 0.5000
Se: 0.2514 0.0000 0.7405
Se: 0.2593 0.5000 0.2633
Se: 0.7407 0.5000 0.7367
Se: 0.7486 0.0000 0.2595

2.
Material: Ce3DyTm3Se8
Method: DFT, PBE-GGA
State: optimized geometry

Output
Theoretical density, Mg/m³: 7.31
Formation energy without anion corrections, eV/atom: -1.82
D(E_F), states/eV/cell: 20.07

Cell: 8.2690 8.2690 8.2690 Å, 59.03 59.03 59.03°
Fractional positions:
Ce: 0.0000 0.5000 0.5000
Ce: 0.5000 0.0000 0.5000
Ce: 0.5000 0.5000 0.0000
Dy: 0.5000 0.5000 0.5000
Tm: 0.0000 0.0000 0.5000
Tm: 0.0000 0.5000 0.0000
Tm: 0.5000 0.0000 0.0000
Se: 0.2377 0.7508 0.7508
Se: 0.2444 0.2444 0.2444
Se: 0.2492 0.2492 0.7623
Se: 0.2492 0.7623 0.2492
Se: 0.7508 0.2377 0.7508
Se: 0.7508 0.7508 0.2377
Se: 0.7556 0.7556 0.7556
Se: 0.7623 0.2492 0.2492